VASP calculation (PBE) on crystalline TlCdSe2N at its relaxed geometry.

a b c (Å): 5.5307 5.5307 4.2937
angles (deg): 90.00 90.00 90.00
Closest atoms and distances in Å follow each position.
Fractional positions:
Tl: 0.0000 0.0000 0.0000  8 Se 3.50, 4 N 3.91
Cd: 0.5000 0.5000 0.5000  2 N 2.15
Se: 0.0000 0.5000 0.5000  2 Cd 2.77
Se: 0.5000 0.0000 0.5000  2 Cd 2.77
N: 0.5000 0.5000 0.0000  2 Cd 2.15

- Formation energy from raw total energies: 802 meV/atom
- Excess energy over the best structure of this formula in the dataset: 0.00 eV per formula unit
- Final energy: -14.6 eV/cell
- Spin magnetization: 0.674 μB per atom
- Crystal system: tetragonal


VASP calculation (PBE) on crystalline TlCdSe2N at its relaxed geometry.

a b c (Å): 5.5151 5.5151 4.3392
angles (deg): 90.00 90.00 90.00
Closest atoms and distances in Å follow each position.
Fractional positions:
Tl: 0.0000 0.0000 0.0000  2 N 2.17
Cd: 0.5000 0.5000 0.5000  8 Se 3.51, 4 N 3.90
Se: 0.0000 0.5000 0.0000  2 Tl 2.76
Se: 0.5000 0.0000 0.0000  2 Tl 2.76
N: 0.0000 0.0000 0.5000  2 Tl 2.17

- Formation energy from raw total energies: 1018 meV/atom
- Excess energy over the best structure of this formula in the dataset: 1.08 eV per formula unit
- Final energy: -13.5 eV/cell
- Spin magnetization: 0.424 μB per atom
- Crystal system: tetragonal


VASP calculation (PBE) on crystalline YCdSeN2 at its relaxed geometry.

a b c (Å): 4.2609 4.2609 5.2266
angles (deg): 90.00 90.00 90.00
Closest atoms and distances in Å follow each position.
Fractional positions:
Y: 0.0000 0.0000 0.0000  4 Se 3.01, 8 N 3.37
Cd: 0.5000 0.5000 0.5000  4 N 2.13
Se: 0.5000 0.5000 0.0000  2 Cd 2.61
N: 0.0000 0.5000 0.5000  2 Cd 2.13
N: 0.5000 0.0000 0.5000  2 Cd 2.13

- Formation energy from raw total energies: 773 meV/atom
- Excess energy over the best structure of this formula in the dataset: 0.99 eV per formula unit
- Final energy: -23.6 eV/cell
- Spin magnetization: 0.405 μB per atom
- Crystal system: tetragonal


VASP calculation (PBE) on crystalline YCdSeN2 at its relaxed geometry.

a b c (Å): 4.4373 4.4373 5.8264
angles (deg): 90.00 90.00 90.00
Closest atoms and distances in Å follow each position.
Fractional positions:
Y: 0.0000 0.0000 0.0000  4 N 2.22
Cd: 0.5000 0.5000 0.5000  4 Se 3.14
Se: 0.0000 0.0000 0.5000  2 Y 2.91, 4 Cd 3.14
N: 0.0000 0.5000 0.0000  2 Y 2.22
N: 0.5000 0.0000 0.0000  2 Y 2.22

- Formation energy from raw total energies: 574 meV/atom
- Excess energy over the best structure of this formula in the dataset: 0.00 eV per formula unit
- Final energy: -24.6 eV/cell
- Spin magnetization: 0.660 μB per atom
- Crystal system: tetragonal